# PBE TcSb2TeRh, optimized geometry
# Energy above the lowest structure with this stoichiometry (meV per atom): 57
# Symmetry: P4/mmm, No. 123
# Crystal system: tetragonal
# M_tot (μB/atom): 0.597
# Formation energy (no corrections) (meV/atom): 926
data_TcSb2TeRh
_space_group_name_H-M_alt 'P 1'
_space_group_IT_number 1
_cell_length_a 5.041
_cell_length_b 5.041
_cell_length_c 5.339
_cell_angle_alpha 90.00
_cell_angle_beta 90.00
_cell_angle_gamma 90.00
loop_
_space_group_symop_operation_xyz
'x,y,z'
loop_
_atom_site_label
_atom_site_type_symbol
_atom_site_fract_x
_atom_site_fract_y
_atom_site_fract_z
Tc1 Tc 0.500 0.500 0.500
Te1 Te 0.000 0.000 0.500
Sb1 Sb 0.000 0.500 0.000
Sb2 Sb 0.500 0.000 0.000
Rh1 Rh 0.000 0.000 0.000